# 1
# In2CoBr | Alexandria | GGA-PBE | optimized geometry
data_In2CoBr
_cell_length_a 3.6144
_cell_length_b 3.6144
_cell_length_c 7.9542
_cell_angle_alpha 90.00
_cell_angle_beta 90.00
_cell_angle_gamma 90.00
_symmetry_space_group_name_H-M 'P 4 m m'
_symmetry_Int_Tables_number 99
_symmetry_space_group_name_Hall 'P 4 -2'
loop_
_atom_site_label
_atom_site_type_symbol
_atom_site_fract_x
_atom_site_fract_y
_atom_site_fract_z
In1 In 0.0000 0.0000 0.0000
In2 In 0.5000 0.5000 0.3734
Co1 Co 0.5000 0.5000 0.0569
Br1 Br 0.0000 0.0000 0.5896
# **Total moment**: 0.311 μB/atom
# **Energy**: -3.498 eV/atom
# **Formation energy without anion corrections**: 0.07 eV/atom
# **ΔE to the lowest computed polymorph**: 0.061 eV/atom
# **V**: 25.98 Å³ per atom

---

# 2
# In2CoBr | Alexandria | GGA-PBE | optimized geometry
data_In2CoBr
_cell_length_a 6.3425
_cell_length_b 6.3425
_cell_length_c 12.8584
_cell_angle_alpha 90.00
_cell_angle_beta 90.00
_cell_angle_gamma 90.00
_symmetry_space_group_name_H-M 'I -4 2 d'
_symmetry_Int_Tables_number 122
_symmetry_space_group_name_Hall 'I -4 2bw'
loop_
_atom_site_label
_atom_site_type_symbol
_atom_site_fract_x
_atom_site_fract_y
_atom_site_fract_z
In1 In 0.1685 0.2500 0.1250
Co1 Co 0.0000 0.0000 0.0000
Br1 Br 0.0000 0.0000 0.5000
# **Total moment**: 0.215 μB/atom
# **Energy**: -3.282 eV/atom
# **Formation energy without anion corrections**: 0.28 eV/atom
# **ΔE to the lowest computed polymorph**: 0.277 eV/atom
# **V**: 32.33 Å³ per atom

---

# 3
# In2CoBr8 | Alexandria | GGA-PBE | optimized geometry
data_In2CoBr8
_cell_length_a 19.1925
_cell_length_b 8.8387
_cell_length_c 13.0811
_cell_angle_alpha 90.00
_cell_angle_beta 130.37
_cell_angle_gamma 90.00
_symmetry_space_group_name_H-M 'C 1 2/c 1'
_symmetry_Int_Tables_number 15
_symmetry_space_group_name_Hall '-C 2yc'
loop_
_atom_site_label
_atom_site_type_symbol
_atom_site_fract_x
_atom_site_fract_y
_atom_site_fract_z
In1 In 0.0803 0.2432 0.0303
Co1 Co 0.0000 0.0020 0.2500
Br1 Br 0.0759 0.2064 0.7069
Br2 Br 0.0810 0.2234 0.2276
Br3 Br 0.1430 0.9995 0.0044
Br4 Br 0.1573 0.4855 0.0588
# **Total moment**: 0.273 μB/atom
# **Energy**: -2.984 eV/atom
# **Formation energy without anion corrections**: -0.62 eV/atom
# **V**: 38.43 Å³ per atom

---

# 4
# In2CoBr | Alexandria | GGA-PBE | optimized geometry
data_In2CoBr
_cell_length_a 4.9858
_cell_length_b 3.9360
_cell_length_c 5.8296
_cell_angle_alpha 90.00
_cell_angle_beta 114.77
_cell_angle_gamma 90.00
_symmetry_space_group_name_H-M 'P 1 m 1'
_symmetry_Int_Tables_number 6
_symmetry_space_group_name_Hall 'P -2y'
loop_
_atom_site_label
_atom_site_type_symbol
_atom_site_fract_x
_atom_site_fract_y
_atom_site_fract_z
In1 In 0.0000 0.0000 0.0000
In2 In 0.3880 0.5000 0.7684
Co1 Co 0.8583 0.5000 0.7075
Br1 Br 0.7041 0.0000 0.3875
# **Total moment**: 0.000 μB/atom
# **Energy**: -3.497 eV/atom
# **Formation energy without anion corrections**: 0.07 eV/atom
# **ΔE to the lowest computed polymorph**: 0.062 eV/atom
# **V**: 25.97 Å³ per atom